[1]
# YCuPt2

YCuPt2 at its PBEsol-relaxed geometry (meta-GGA SCAN, Alexandria).

DFT formation energy   -0.823 eV per atom

Lattice parameters (Å, degrees): 3.951 3.951 5.046 113.05 113.05 90.00
Element x y z (fractional)
1 Y 0.250 0.750 0.500
2 Pt 0.750 0.250 0.500
3 Pt 0.000 0.000 0.000
4 Cu 0.500 0.500 0.000

[2]
# YCuPt4

YCuPt4 at its PBEsol-relaxed geometry (meta-GGA SCAN, Alexandria).

DFT formation energy   -0.756 eV per atom

Lattice parameters (Å, degrees): 5.240 5.240 5.240 60.00 60.00 60.00
Element x y z (fractional)
1 Y 0.750 0.750 0.750
2 Pt 0.374 0.374 0.374
3 Pt 0.374 0.374 0.877
4 Pt 0.877 0.374 0.374
5 Pt 0.374 0.877 0.374
6 Cu 0.000 0.000 0.000

[3]
# ZnCu2Pt

ZnCu2Pt at its PBEsol-relaxed geometry (meta-GGA SCAN, Alexandria).

DFT formation energy   -0.131 eV per atom

Lattice parameters (Å, degrees): 2.671 2.671 8.505 80.97 80.97 60.00
Element x y z (fractional)
1 Cu 0.253 0.253 0.242
2 Cu 0.747 0.747 0.758
3 Pt 0.500 0.500 0.500
4 Zn 0.000 0.000 0.000

[4]
# ZnCu2Pt

ZnCu2Pt at its PBEsol-relaxed geometry (meta-GGA SCAN, Alexandria).

DFT formation energy   -0.270 eV per atom

Lattice parameters (Å, degrees): 3.706 3.706 4.554 114.01 114.01 90.00
Element x y z (fractional)
1 Zn 0.000 0.000 0.000
2 Pt 0.500 0.500 0.000
3 Cu 0.750 0.250 0.500
4 Cu 0.250 0.750 0.500

[5]
# ZnCuPt

ZnCuPt at its PBEsol-relaxed geometry (meta-GGA SCAN, Alexandria).

DFT formation energy   -0.363 eV per atom
Polymorph energy (0 for the lowest one)   0 meV per atom

Lattice parameters (Å, degrees): 2.758 3.626 4.586 113.29 107.50 90.00
Element x y z (fractional)
1 Zn 0.335 0.335 0.669
2 Pt 0.667 0.667 0.334
3 Cu 0.998 0.998 0.997

[6]
# ZnCu2Pt

ZnCu2Pt at its PBEsol-relaxed geometry (meta-GGA SCAN, Alexandria).

DFT formation energy   -0.314 eV per atom

Lattice parameters (Å, degrees): 3.742 3.742 4.501 114.56 114.56 90.00
Element x y z (fractional)
1 Zn 0.250 0.750 0.500
2 Cu 0.000 0.000 0.000
3 Cu 0.750 0.250 0.500
4 Pt 0.500 0.500 0.000

[7]
# ZnCu2Pt

ZnCu2Pt at its PBEsol-relaxed geometry (meta-GGA SCAN, Alexandria).

DFT formation energy   -0.231 eV per atom

Lattice parameters (Å, degrees): 2.885 4.227 4.902 115.61 107.15 90.00
Element x y z (fractional)
1 Zn 0.260 0.760 0.519
2 Pt 0.501 0.501 0.003
3 Cu 0.000 0.000 0.000
4 Cu 0.739 0.239 0.477

[8]
# ZnCu2Pt

ZnCu2Pt at its PBEsol-relaxed geometry (meta-GGA SCAN, Alexandria).

DFT formation energy   -0.233 eV per atom

Lattice parameters (Å, degrees): 2.814 2.814 6.409 90.00 90.00 90.00
Element x y z (fractional)
1 Zn 0.500 0.500 0.763
2 Pt 0.000 0.000 0.497
3 Cu 0.000 0.000 0.007
4 Cu 0.500 0.500 0.232

[9]
# ZnCu2Pt

ZnCu2Pt at its PBEsol-relaxed geometry (meta-GGA SCAN, Alexandria).

DFT formation energy   -0.247 eV per atom

Lattice parameters (Å, degrees): 2.758 4.443 4.509 102.42 107.62 90.11
Element x y z (fractional)
1 Zn 0.252 0.751 0.505
2 Pt 0.500 0.505 0.000
3 Cu 0.001 0.009 0.001
4 Cu 0.747 0.235 0.493

[10]
# ZnCu2Pt

ZnCu2Pt at its PBEsol-relaxed geometry (meta-GGA SCAN, Alexandria).

DFT formation energy   -0.234 eV per atom

Lattice parameters (Å, degrees): 2.759 4.427 4.427 107.84 90.00 90.00
Element x y z (fractional)
1 Zn 0.500 0.500 0.500
2 Cu 0.000 0.500 0.000
3 Cu 0.000 0.000 0.500
4 Pt 0.500 0.000 0.000

[11]
# ZnCuPt

ZnCuPt at its PBEsol-relaxed geometry (meta-GGA SCAN, Alexandria).

DFT formation energy   -0.340 eV per atom
Polymorph energy (0 for the lowest one)   23 meV per atom

Lattice parameters (Å, degrees): 2.718 4.104 4.104 120.00 90.00 90.00
Element x y z (fractional)
1 Zn 0.195 0.333 0.667
2 Pt 0.665 0.667 0.333
3 Cu 0.140 0.000 0.000

[12]
# ZnCu2Pt

ZnCu2Pt at its PBEsol-relaxed geometry (meta-GGA SCAN, Alexandria).

DFT formation energy   -0.266 eV per atom

Lattice parameters (Å, degrees): 4.170 4.170 4.170 60.00 60.00 60.00
Element x y z (fractional)
1 Zn 0.250 0.250 0.250
2 Cu 0.000 0.000 0.000
3 Cu 0.750 0.750 0.750
4 Pt 0.500 0.500 0.500

[13]
# ZnCu2Pt

ZnCu2Pt at its PBEsol-relaxed geometry (meta-GGA SCAN, Alexandria).

DFT formation energy   -0.241 eV per atom

Lattice parameters (Å, degrees): 2.818 4.239 4.976 115.21 106.45 90.00
Element x y z (fractional)
1 Zn 0.000 0.500 0.000
2 Pt 0.500 0.000 0.000
3 Cu 0.741 0.741 0.482
4 Cu 0.259 0.259 0.518

[14]
# ZnCu2Pt

ZnCu2Pt at its PBEsol-relaxed geometry (meta-GGA SCAN, Alexandria).

DFT formation energy   -0.271 eV per atom

Lattice parameters (Å, degrees): 2.714 3.582 5.260 90.00 89.98 90.00
Element x y z (fractional)
1 Zn 0.500 0.500 0.756
2 Pt 0.000 0.000 0.501
3 Cu 0.000 0.000 0.007
4 Cu 0.500 0.500 0.236

[15]
# ZrCuPt

ZrCuPt at its PBEsol-relaxed geometry (meta-GGA SCAN, Alexandria).

DFT formation energy   -0.847 eV per atom
Polymorph energy (0 for the lowest one)   0 meV per atom

Lattice parameters (Å, degrees): 3.415 3.415 4.797 110.85 110.85 90.00
Element x y z (fractional)
1 Pt 0.332 0.332 0.663
2 Zr 0.670 0.670 0.340
3 Cu 0.998 0.998 0.996

[16]
# ZrCuPt

ZrCuPt at its PBEsol-relaxed geometry (meta-GGA SCAN, Alexandria).

DFT formation energy   -0.573 eV per atom
Polymorph energy (0 for the lowest one)   274 meV per atom

Lattice parameters (Å, degrees): 4.313 4.313 4.313 60.00 60.00 60.00
Element x y z (fractional)
1 Cu 0.500 0.500 0.500
2 Pt 0.750 0.750 0.750
3 Zr 0.000 0.000 0.000

[17]
# Zr2Cu2Pt

Zr2Cu2Pt at its PBEsol-relaxed geometry (meta-GGA SCAN, Alexandria).

DFT formation energy   -0.598 eV per atom

Lattice parameters (Å, degrees): 3.507 6.782 6.782 90.00 90.00 90.00
Element x y z (fractional)
1 Cu 0.000 0.376 0.876
2 Cu 0.000 0.876 0.624
3 Cu 0.000 0.624 0.124
4 Cu 0.000 0.124 0.376
5 Zr 0.500 0.177 0.677
6 Zr 0.500 0.677 0.823
7 Zr 0.500 0.823 0.323
8 Zr 0.500 0.323 0.177
9 Pt 0.000 0.000 0.000
10 Pt 0.000 0.500 0.500

[18]
# ZrCu4Pt

ZrCu4Pt at its PBEsol-relaxed geometry (meta-GGA SCAN, Alexandria).

DFT formation energy   -0.471 eV per atom

Lattice parameters (Å, degrees): 4.817 4.817 4.817 60.00 60.00 60.00
Element x y z (fractional)
1 Cu 0.376 0.376 0.376
2 Cu 0.376 0.376 0.873
3 Cu 0.873 0.376 0.376
4 Cu 0.376 0.873 0.376
5 Pt 0.750 0.750 0.750
6 Zr 0.000 0.000 0.000

[19]
# PuCu2

PuCu2 at its PBEsol-relaxed geometry (meta-GGA SCAN, Alexandria).

DFT formation energy   0.143 eV per atom

Lattice parameters (Å, degrees): 2.796 4.453 4.453 120.00 90.00 90.00
Element x y z (fractional)
1 Cu 0.000 0.667 0.333
2 Cu 0.000 0.333 0.667
3 Pu 0.500 0.000 0.000

[20]
# PuCu2Si2

PuCu2Si2 at its PBEsol-relaxed geometry (meta-GGA SCAN, Alexandria).

Formation energy (no corrections)   -1.61 eV/f.u.

Lattice parameters (Å, degrees): 3.919 3.919 5.680 110.18 110.18 90.00
Element x y z (fractional)
1 Si 0.382 0.382 0.765
2 Si 0.618 0.618 0.235
3 Cu 0.250 0.750 0.500
4 Cu 0.750 0.250 0.500
5 Pu 0.000 0.000 0.000

[21]
# RbSrCuRh2

RbSrCuRh2 at its PBEsol-relaxed geometry (meta-GGA SCAN, Alexandria).

DFT formation energy   1.458 eV per atom

Lattice parameters (Å, degrees): 4.900 4.900 5.066 90.00 90.00 90.00
Element x y z (fractional)
1 Sr 0.500 0.500 0.500
2 Rh 0.000 0.500 0.000
3 Rh 0.500 0.000 0.000
4 Cu 0.000 0.000 0.500
5 Rb 0.000 0.000 0.000

[22]
# RbCu3S2

RbCu3S2 at its PBEsol-relaxed geometry (meta-GGA SCAN, Alexandria).

Formation energy (no corrections)   -3.31 eV/f.u.

Lattice parameters (Å, degrees): 3.833 7.444 8.354 111.18 90.00 104.92
Element x y z (fractional)
1 Rb 0.863 0.726 0.955
2 Rb 0.137 0.274 0.045
3 Cu 0.409 0.819 0.367
4 Cu 0.311 0.622 0.573
5 Cu 0.061 0.121 0.408
6 Cu 0.939 0.879 0.592
7 Cu 0.689 0.378 0.427
8 Cu 0.591 0.181 0.633
9 S 0.810 0.620 0.323
10 S 0.190 0.380 0.677
11 S 0.524 0.049 0.243
12 S 0.476 0.951 0.757

[23]
# RbCu3S

RbCu3S at its PBEsol-relaxed geometry (meta-GGA SCAN, Alexandria).

Formation energy (no corrections)   2.32 eV/f.u.

Lattice parameters (Å, degrees): 4.644 4.644 4.644 90.00 90.00 90.00
Element x y z (fractional)
1 S 0.000 0.000 0.000
2 Cu 0.000 0.500 0.000
3 Cu 0.000 0.000 0.500
4 Cu 0.500 0.000 0.000
5 Rb 0.500 0.500 0.500

[24]
# RbCu2SeS

RbCu2SeS at its PBEsol-relaxed geometry (meta-GGA SCAN, Alexandria).

Formation energy (no corrections)   -0.38 eV/f.u.

Lattice parameters (Å, degrees): 4.362 4.362 6.309 90.00 90.00 90.00
Element x y z (fractional)
1 S 0.000 0.000 0.000
2 Cu 0.000 0.500 0.000
3 Cu 0.500 0.000 0.000
4 Se 0.500 0.500 0.500
5 Rb 0.000 0.000 0.500

[25]
# Rb2TaCuS4

Rb2TaCuS4 at its PBEsol-relaxed geometry (meta-GGA SCAN, Alexandria).

Formation energy (no corrections)   -10.10 eV/f.u.

Lattice parameters (Å, degrees): 5.520 7.245 12.144 85.03 76.86 67.61
Element x y z (fractional)
1 Rb 0.822 0.000 0.356
2 Rb 0.178 0.000 0.644
3 Rb 0.928 0.500 0.144
4 Rb 0.572 0.500 0.856
5 Ta 0.000 0.000 0.000
6 Ta 0.750 0.500 0.500
7 Cu 0.500 0.000 0.000
8 Cu 0.250 0.500 0.500
9 S 0.548 0.305 0.609
10 S 0.462 0.695 0.391
11 S 0.288 0.805 0.109
12 S 0.202 0.195 0.891
13 S 0.907 0.805 0.891
14 S 0.603 0.195 0.109
15 S 0.147 0.305 0.391
16 S 0.843 0.695 0.609

[26]
# RbVCu2S4

RbVCu2S4 at its PBEsol-relaxed geometry (meta-GGA SCAN, Alexandria).

Formation energy (no corrections)   -7.77 eV/f.u.

Lattice parameters (Å, degrees): 5.332 7.274 9.392 90.00 106.49 90.00
Element x y z (fractional)
1 S 0.947 0.994 0.214
2 S 0.360 0.250 0.986
3 S 0.373 0.750 0.014
4 S 0.733 0.494 0.786
5 S 0.161 0.250 0.591
6 S 0.733 0.006 0.786
7 S 0.570 0.750 0.409
8 S 0.947 0.506 0.214
9 Cu 0.620 0.500 0.000
10 Cu 0.209 0.750 0.212
11 Cu 0.997 0.250 0.788
12 Cu 0.620 0.000 0.000
13 Rb 0.541 0.250 0.365
14 Rb 0.175 0.750 0.635
15 V 0.495 0.250 0.784
16 V 0.711 0.750 0.216

[27]
# RbCuSb2

RbCuSb2 at its PBEsol-relaxed geometry (meta-GGA SCAN, Alexandria).

Formation energy (no corrections)   1.84 eV/f.u.

Lattice parameters (Å, degrees): 5.217 5.217 5.217 60.00 60.00 60.00
Element x y z (fractional)
1 Sb 0.250 0.250 0.250
2 Sb 0.750 0.750 0.750
3 Cu 0.000 0.000 0.000
4 Rb 0.500 0.500 0.500

[28]
# RbCuSb2

RbCuSb2 at its PBEsol-relaxed geometry (meta-GGA SCAN, Alexandria).

Formation energy (no corrections)   -0.13 eV/f.u.

Lattice parameters (Å, degrees): 5.775 5.775 9.408 107.87 107.87 90.00
Element x y z (fractional)
1 Sb 0.625 0.375 0.750
2 Sb 0.125 0.375 0.750
3 Sb 0.625 0.875 0.250
4 Sb 0.625 0.375 0.250
5 Cu 0.500 0.500 0.000
6 Cu 0.750 0.250 0.500
7 Rb 0.000 0.000 0.000
8 Rb 0.250 0.750 0.500